[1]
Ca2CrSe: optimized geometry, PBE.

Calculated values
**Crystal system**: tetragonal
**Symmetry**: I-42d
**Formation energy from raw total energies**: -0.207 eV per atom

Cell: 8.1093 8.1093 6.8844 Å, 53.92 53.92 90.00°
Closest atoms and distances in Å follow each position.
Sites, in units of the cell vectors:
Ca  0.8750  0.9126  0.7500  2 Se 2.83
Ca  0.3750  0.3374  0.7500  2 Se 2.83
Ca  0.6626  0.1250  0.2500  2 Se 2.83
Se  0.7500  0.2500  0.5000  4 Ca 2.83
Cr  0.2500  0.7500  0.5000  4 Ca 3.23
Se  0.0000  0.0000  0.0000  4 Ca 2.83
Cr  0.5000  0.5000  0.0000  4 Ca 3.23
Ca  0.0874  0.6250  0.2500  2 Se 2.83

[2]
Nd3Ho6ErTm2: optimized geometry, PBE.

Calculated values
**Crystal system**: monoclinic
**Symmetry**: C2/m
**Total energy**: -0.337 Ry/atom

Cell: 6.1621 6.1621 11.7622 Å, 95.00 95.00 119.97°
Closest atoms and distances in Å follow each position.
Sites, in units of the cell vectors:
Tm  0.6667  0.3333  0.0000  6 Ho 3.50, 3 Er 3.56, 3 Tm 3.56
Ho  0.5850  0.9185  0.7549  2 Tm 3.50, 1 Er 3.50, 6 Ho 3.56, 3 Nd 3.60
Nd  0.1667  0.8333  0.5000  6 Nd 3.56, 6 Ho 3.60
Er  0.0000  0.0000  0.0000  6 Ho 3.50-3.51, 6 Tm 3.56
Ho  0.2520  0.2520  0.7549  2 Tm 3.50, 1 Er 3.51, 6 Ho 3.56, 3 Nd 3.60
Ho  0.9185  0.5850  0.7549  2 Tm 3.50, 1 Er 3.50, 6 Ho 3.56, 3 Nd 3.60
Ho  0.0815  0.4150  0.2451  2 Tm 3.50, 1 Er 3.50, 6 Ho 3.56, 3 Nd 3.60
Ho  0.4150  0.0815  0.2451  2 Tm 3.50, 1 Er 3.50, 6 Ho 3.56, 3 Nd 3.60
Tm  0.3333  0.6667  0.0000  6 Ho 3.50, 3 Er 3.56, 3 Tm 3.56
Ho  0.7480  0.7480  0.2451  2 Tm 3.50, 1 Er 3.51, 6 Ho 3.56, 3 Nd 3.60
Nd  0.5000  0.5000  0.5000  6 Nd 3.56, 6 Ho 3.60
Nd  0.8333  0.1667  0.5000  6 Nd 3.56, 6 Ho 3.60

[3]
ScW2Se: optimized geometry, PBE.

Calculated values
**Crystal system**: tetragonal
**Symmetry**: I-42d
**Formation energy from raw total energies**: 0.305 eV per atom

Cell: 3.7471 3.7471 10.9977 Å, 80.19 80.19 90.00°
Closest atoms and distances in Å follow each position.
Sites, in units of the cell vectors:
Se  0.0000  0.0000  0.0000  4 Sc 2.65
Sc  0.2500  0.7500  0.5000  4 Se 2.65
Sc  0.5000  0.5000  0.0000  4 Se 2.65
W  0.3750  0.3750  0.7500  4 W 2.65
Se  0.7500  0.2500  0.5000  4 Sc 2.65
W  0.8750  0.8750  0.7500  4 W 2.65
W  0.6250  0.1250  0.2500  4 W 2.65
W  0.1250  0.6250  0.2500  4 W 2.65

[4]
SrNiPRh2: optimized geometry, PBE.

Calculated values
**Crystal system**: tetragonal
**Symmetry**: P4/mmm
**Total energy**: -0.436 Ry/atom

Cell: 4.5321 4.5321 4.3697 Å, 90.00 90.00 90.00°
Closest atoms and distances in Å follow each position.
Sites, in units of the cell vectors:
Sr  0.5000  0.5000  0.5000  8 Rh 3.15, 4 Ni 3.20
P  0.0000  0.0000  0.0000  2 Ni 2.18, 4 Rh 2.27
Rh  0.5000  0.0000  0.0000  2 P 2.27
Rh  0.0000  0.5000  0.0000  2 P 2.27
Ni  0.0000  0.0000  0.5000  2 P 2.18

[5]
Hf8Ir5Pt: optimized geometry, PBE.

Calculated values
**Crystal system**: monoclinic
**Symmetry**: C2
**Total energy**: -0.739 Ry/atom

Cell: 7.0832 7.0991 7.0832 Å, 113.87 103.54 111.07°
Closest atoms and distances in Å follow each position.
Sites, in units of the cell vectors:
Hf  0.7034  0.2521  0.3337  4 Ir 2.67-2.81
Pt  0.3487  0.5000  0.8487  6 Hf 2.64-2.76
Hf  0.0816  0.7479  0.4512  4 Ir 2.67-2.81
Hf  0.5698  0.8753  0.8206  1 Pt 2.68, 5 Ir 2.71-2.97
Ir  0.8433  0.8775  0.1997  5 Hf 2.62-2.91
Hf  0.1731  0.7605  0.0187  3 Ir 2.62-2.84, 1 Pt 2.64
Hf  0.6844  0.3895  0.9096  4 Ir 2.67-2.82, 1 Pt 2.76
Ir  0.9971  0.3168  0.1331  6 Hf 2.70-2.88
Ir  0.8163  0.6832  0.6803  6 Hf 2.70-2.88
Ir  0.3222  0.1225  0.9658  5 Hf 2.62-2.91
Hf  0.5201  0.6105  0.2949  4 Ir 2.67-2.82, 1 Pt 2.76
Hf  0.9453  0.1247  0.6945  1 Pt 2.68, 5 Ir 2.71-2.97
Ir  0.4866  0.0000  0.4866  8 Hf 2.67-2.85
Hf  0.2582  0.2395  0.4126  3 Ir 2.62-2.84, 1 Pt 2.64

[6]
KBa2Fe: optimized geometry, PBE.

Calculated values
**Crystal system**: tetragonal
**Symmetry**: I-42d
**Offset from the most stable computed form**: 281 meV/atom

Cell: 8.5810 8.5810 8.5880 Å, 60.03 60.03 90.00°
Closest atoms and distances in Å follow each position.
Sites, in units of the cell vectors:
Ba  0.3750  0.1240  0.7500  2 Fe 2.63
Fe  0.7500  0.2500  0.5000  4 Ba 2.63
Fe  0.0000  0.0000  0.0000  4 Ba 2.63
Ba  0.8740  0.6250  0.2500  2 Fe 2.63
Ba  0.8750  0.1260  0.7500  2 Fe 2.63
K  0.2500  0.7500  0.5000  12 Ba 5.02-5.04, 4 Fe 5.26, 4 K 5.26
K  0.5000  0.5000  0.0000  12 Ba 5.02-5.04, 4 Fe 5.26, 4 K 5.26
Ba  0.8760  0.1250  0.2500  2 Fe 2.63